(1)
First-principles (PBE) data for crystalline Tm2ScPbC at its relaxed geometry, as listed in Alexandria.

Calculated values
* ΔH_f (0 K): -595.9 meV per atom
* total magnetization: 0.00 μB per cell
* E: -31.2 eV for the cell shown

Cell and atoms, written as CIF:
```
data_Tm2ScPbC
_chemical_formula_sum 'Tm2 Sc1 Pb1 C1'
_cell_length_a 4.830
_cell_length_b 4.830
_cell_length_c 4.599
_cell_angle_alpha 90.00
_cell_angle_beta 90.00
_cell_angle_gamma 90.00
_space_group_name_H-M_alt 'P 4/m m m'
_space_group_IT_number 123
_space_group_name_Hall '-P 4 2'
loop_
_atom_site_label
_atom_site_type_symbol
_atom_site_fract_x
_atom_site_fract_y
_atom_site_fract_z
Tm1 Tm 0.000 0.500 0.000
Sc1 Sc 0.000 0.000 0.500
Pb1 Pb 0.500 0.500 0.500
C1 C 0.000 0.000 0.000
```

(2)
First-principles (PBE) data for crystalline Cs3ZnBi at its relaxed geometry, as listed in Alexandria.

Calculated values
* ΔH_f (0 K): 26.7 meV per atom
* total magnetization: 0.00 μB per cell
* E: -7.6 eV for the cell shown
* energy above the lowest structure with this stoichiometry: 225 meV per atom

Cell and atoms, written as CIF:
```
data_Cs3ZnBi
_chemical_formula_sum 'Cs3 Zn1 Bi1'
_cell_length_a 7.659
_cell_length_b 7.659
_cell_length_c 7.659
_cell_angle_alpha 90.00
_cell_angle_beta 90.00
_cell_angle_gamma 90.00
_space_group_name_H-M_alt 'P m -3 m'
_space_group_IT_number 221
_space_group_name_Hall '-P 4 2 3'
loop_
_atom_site_label
_atom_site_type_symbol
_atom_site_fract_x
_atom_site_fract_y
_atom_site_fract_z
Cs1 Cs 0.000 0.000 0.500
Zn1 Zn 0.500 0.500 0.500
Bi1 Bi 0.000 0.000 0.000
```

(3)
First-principles (PBE) data for crystalline Ti2BeTlB at its relaxed geometry, as listed in Alexandria.

Calculated values
* ΔH_f (0 K): 1009.1 meV per atom
* total magnetization: 0.00 μB per cell
* E: -23.5 eV for the cell shown

Cell and atoms, written as CIF:
```
data_Ti2BeTlB
_chemical_formula_sum 'Ti2 Be1 Tl1 B1'
_cell_length_a 4.358
_cell_length_b 4.358
_cell_length_c 4.343
_cell_angle_alpha 90.00
_cell_angle_beta 90.00
_cell_angle_gamma 90.00
_space_group_name_H-M_alt 'P 4/m m m'
_space_group_IT_number 123
_space_group_name_Hall '-P 4 2'
loop_
_atom_site_label
_atom_site_type_symbol
_atom_site_fract_x
_atom_site_fract_y
_atom_site_fract_z
Ti1 Ti 0.000 0.500 0.000
Be1 Be 0.000 0.000 0.000
Tl1 Tl 0.000 0.000 0.500
B1 B 0.500 0.500 0.500
```

(4)
First-principles (PBE) data for crystalline BPdCl2 at its relaxed geometry, as listed in Alexandria.

Calculated values
* formation energy without anion corrections: 209 kJ/mol of formula units
* total magnetization: 0.00 μB per cell
* E: -40.2 eV for the cell shown
* energy above the lowest structure with this stoichiometry: 0 meV per atom

Cell and atoms, written as CIF:
```
data_BPdCl2
_chemical_formula_sum 'B3 Pd3 Cl6'
_cell_length_a 3.1329
_cell_length_b 3.1329
_cell_length_c 26.4902
_cell_angle_alpha 90.00
_cell_angle_beta 90.00
_cell_angle_gamma 120.00
_space_group_name_H-M_alt 'R -3 m'
_space_group_IT_number 166
_space_group_name_Hall '-R 3 2"'
loop_
_atom_site_label
_atom_site_type_symbol
_atom_site_fract_x
_atom_site_fract_y
_atom_site_fract_z
B1 B 0.0000 0.0000 0.0000
Pd1 Pd 0.0000 0.0000 0.5000
Cl1 Cl 0.0000 0.0000 0.0630
```

What did the second record say?
First-principles (PBE) data for crystalline Cs3ZnBi at its relaxed geometry, as listed in Alexandria.

Calculated values
* ΔH_f (0 K): 26.7 meV per atom
* total magnetization: 0.00 μB per cell
* E: -7.6 eV for the cell shown
* energy above the lowest structure with this stoichiometry: 225 meV per atom

Cell and atoms, written as CIF:
```
data_Cs3ZnBi
_chemical_formula_sum 'Cs3 Zn1 Bi1'
_cell_length_a 7.659
_cell_length_b 7.659
_cell_length_c 7.659
_cell_angle_alpha 90.00
_cell_angle_beta 90.00
_cell_angle_gamma 90.00
_space_group_name_H-M_alt 'P m -3 m'
_space_group_IT_number 221
_space_group_name_Hall '-P 4 2 3'
loop_
_atom_site_label
_atom_site_type_symbol
_atom_site_fract_x
_atom_site_fract_y
_atom_site_fract_z
Cs1 Cs 0.000 0.000 0.500
Zn1 Zn 0.500 0.500 0.500
Bi1 Bi 0.000 0.000 0.000
```